No. 1
An optimized crystal structure of BaI2O2. Source: Alexandria, functional PBE.

density: 3.7 g cm⁻³
M_tot: 0.428 μB per atom
distance to the lowest polymorph of the same formula: 0.108 eV per atom
crystal system: tetragonal
uncorrected formation energy: -391 meV per atom

CIF file:
```
data_BaI2O2
_symmetry_space_group_name_H-M 'P 4/m m m'
_symmetry_Int_Tables_number 123
_symmetry_space_group_name_Hall '-P 4 2'
_cell_length_a 4.874
_cell_length_b 4.874
_cell_length_c 7.977
_cell_angle_alpha 90.00
_cell_angle_beta 90.00
_cell_angle_gamma 90.00
loop_
_atom_site_label
_atom_site_type_symbol
_atom_site_fract_x
_atom_site_fract_y
_atom_site_fract_z
Ba1 Ba 0.000 0.000 0.000
I1 I 0.000 0.000 0.500
I2 I 0.500 0.500 0.500
O1 O 0.000 0.500 0.000
```



No. 2
An optimized crystal structure of BaI5O11. Source: Alexandria, functional PBE.

density: 4.4 g cm⁻³
M_tot: 0.033 μB per atom
crystal system: monoclinic
uncorrected formation energy: -458 meV per atom

CIF file:
```
data_BaI5O11
_symmetry_space_group_name_H-M 'C 1 m 1'
_symmetry_Int_Tables_number 8
_symmetry_space_group_name_Hall 'C -2y'
_cell_length_a 11.185
_cell_length_b 9.126
_cell_length_c 7.748
_cell_angle_alpha 90.00
_cell_angle_beta 114.07
_cell_angle_gamma 90.00
loop_
_atom_site_label
_atom_site_type_symbol
_atom_site_fract_x
_atom_site_fract_y
_atom_site_fract_z
Ba1 Ba 0.000 0.000 0.000
I1 I 0.159 0.200 0.613
I2 I 0.329 0.318 0.331
I3 I 0.471 0.000 0.926
O1 O 0.113 0.179 0.810
O2 O 0.179 0.204 0.274
O3 O 0.215 0.500 0.273
O4 O 0.294 0.333 0.692
O5 O 0.301 0.000 0.689
O6 O 0.352 0.303 0.115
O7 O 0.470 0.500 0.421
```



No. 3
An optimized crystal structure of BaOs2IO. Source: Alexandria, functional PBE.

density: 9.9 g cm⁻³
M_tot: 0.598 μB per atom
crystal system: tetragonal
uncorrected formation energy: 651 meV per atom

CIF file:
```
data_BaOs2IO
_symmetry_space_group_name_H-M 'P 4/m m m'
_symmetry_Int_Tables_number 123
_symmetry_space_group_name_Hall '-P 4 2'
_cell_length_a 4.297
_cell_length_b 4.297
_cell_length_c 5.988
_cell_angle_alpha 90.00
_cell_angle_beta 90.00
_cell_angle_gamma 90.00
loop_
_atom_site_label
_atom_site_type_symbol
_atom_site_fract_x
_atom_site_fract_y
_atom_site_fract_z
Ba1 Ba 0.000 0.000 0.000
Os1 Os 0.000 0.500 0.500
I1 I 0.500 0.500 0.000
O1 O 0.000 0.000 0.500
```



No. 4
An optimized crystal structure of Ba3OsI2O6. Source: Alexandria, functional PBE.

density: 4.9 g cm⁻³
M_tot: 0.000 μB per atom
crystal system: monoclinic
uncorrected formation energy: -1552 meV per atom

CIF file:
```
data_Ba3OsI2O6
_symmetry_space_group_name_H-M 'C 1 2/m 1'
_symmetry_Int_Tables_number 12
_symmetry_space_group_name_Hall '-C 2y'
_cell_length_a 12.382
_cell_length_b 7.492
_cell_length_c 7.000
_cell_angle_alpha 90.00
_cell_angle_beta 98.10
_cell_angle_gamma 90.00
loop_
_atom_site_label
_atom_site_type_symbol
_atom_site_fract_x
_atom_site_fract_y
_atom_site_fract_z
Ba1 Ba 0.000 0.000 0.000
Ba2 Ba 0.250 0.250 0.500
Os1 Os 0.000 0.500 0.500
I1 I 0.245 0.500 0.089
O1 O 0.044 0.318 0.339
O2 O 0.143 0.500 0.637
```



No. 5
An optimized crystal structure of Ba4PI2O. Source: Alexandria, functional PBE.

density: 4.9 g cm⁻³
M_tot: 0.040 μB per atom
crystal system: monoclinic
uncorrected formation energy: -1600 meV per atom

CIF file:
```
data_Ba4PI2O
_symmetry_space_group_name_H-M 'P 1 2/m 1'
_symmetry_Int_Tables_number 10
_symmetry_space_group_name_Hall '-P 2y'
_cell_length_a 7.668
_cell_length_b 4.515
_cell_length_c 8.714
_cell_angle_alpha 90.00
_cell_angle_beta 107.50
_cell_angle_gamma 90.00
loop_
_atom_site_label
_atom_site_type_symbol
_atom_site_fract_x
_atom_site_fract_y
_atom_site_fract_z
Ba1 Ba 0.214 0.000 0.186
Ba2 Ba 0.244 0.500 0.807
P1 P 0.500 0.000 0.000
I1 I 0.000 0.000 0.500
I2 I 0.500 0.500 0.500
O1 O 0.000 0.500 0.000
```



No. 6
An optimized crystal structure of Ba8P3I4O. Source: Alexandria, functional PBE.

density: 4.6 g cm⁻³
M_tot: 0.000 μB per atom
crystal system: monoclinic
uncorrected formation energy: -1511 meV per atom

CIF file:
```
data_Ba8P3I4O
_symmetry_space_group_name_H-M 'C 1 2/m 1'
_symmetry_Int_Tables_number 12
_symmetry_space_group_name_Hall '-C 2y'
_cell_length_a 16.004
_cell_length_b 9.225
_cell_length_c 9.917
_cell_angle_alpha 90.00
_cell_angle_beta 122.58
_cell_angle_gamma 90.00
loop_
_atom_site_label
_atom_site_type_symbol
_atom_site_fract_x
_atom_site_fract_y
_atom_site_fract_z
Ba1 Ba 0.015 0.238 0.309
Ba2 Ba 0.225 0.000 0.694
Ba3 Ba 0.235 0.500 0.705
P1 P 0.000 0.500 0.500
P2 P 0.250 0.250 0.500
I1 I 0.000 0.000 0.000
I2 I 0.000 0.500 0.000
I3 I 0.250 0.250 0.000
O1 O 0.000 0.000 0.500
```



No. 7
An optimized crystal structure of BaPI2O. Source: Alexandria, functional PBE.

density: 5.1 g cm⁻³
M_tot: 0.034 μB per atom
distance to the lowest polymorph of the same formula: 0.000 eV per atom
crystal system: tetragonal
uncorrected formation energy: -808 meV per atom

CIF file:
```
data_BaPI2O
_symmetry_space_group_name_H-M 'P 4/m m m'
_symmetry_Int_Tables_number 123
_symmetry_space_group_name_Hall '-P 4 2'
_cell_length_a 6.131
_cell_length_b 6.131
_cell_length_c 3.779
_cell_angle_alpha 90.00
_cell_angle_beta 90.00
_cell_angle_gamma 90.00
loop_
_atom_site_label
_atom_site_type_symbol
_atom_site_fract_x
_atom_site_fract_y
_atom_site_fract_z
Ba1 Ba 0.000 0.000 0.000
P1 P 0.500 0.500 0.500
I1 I 0.000 0.500 0.500
O1 O 0.500 0.500 0.000
```



No. 8
An optimized crystal structure of BaPI2O. Source: Alexandria, functional PBE.

density: 3.3 g cm⁻³
M_tot: 0.336 μB per atom
distance to the lowest polymorph of the same formula: 0.807 eV per atom
crystal system: tetragonal
uncorrected formation energy: -1 meV per atom

CIF file:
```
data_BaPI2O
_symmetry_space_group_name_H-M 'P 4/m m m'
_symmetry_Int_Tables_number 123
_symmetry_space_group_name_Hall '-P 4 2'
_cell_length_a 6.940
_cell_length_b 6.940
_cell_length_c 4.521
_cell_angle_alpha 90.00
_cell_angle_beta 90.00
_cell_angle_gamma 90.00
loop_
_atom_site_label
_atom_site_type_symbol
_atom_site_fract_x
_atom_site_fract_y
_atom_site_fract_z
Ba1 Ba 0.000 0.000 0.000
P1 P 0.500 0.500 0.500
I1 I 0.000 0.500 0.000
O1 O 0.000 0.000 0.500
```